1.
The following is a DFT calculation (SCAN) of SbBrN2 at its PBEsol-relaxed geometry.

Output
* space-group type: Fm-3m, No. 225
* DOS at the Fermi energy: 2.5 states/eV/f.u.
* uncorrected energy: -16.637 eV/atom

a b c (Å): 4.216 4.216 4.216
angles (deg): 60.00 60.00 60.00
Fractional positions:
Sb1 0.500 0.500 0.500
Br1 0.000 0.000 0.000
N1 0.250 0.250 0.250
N2 0.750 0.750 0.750

2.
The following is a DFT calculation (SCAN) of TcSbBrN2 at its PBEsol-relaxed geometry.

Output
* space-group type: P4/mmm, No. 123
* DOS at the Fermi energy: 1.9 states/eV/f.u.
* uncorrected energy: -21.550 eV/atom

a b c (Å): 3.883 3.883 5.481
angles (deg): 90.00 90.00 90.00
Fractional positions:
Sb1 0.000 0.000 0.500
Tc1 0.000 0.000 0.000
Br1 0.500 0.500 0.500
N1 0.000 0.500 0.000
N2 0.500 0.000 0.000

3.
The following is a DFT calculation (SCAN) of ScBr2N at its PBEsol-relaxed geometry.

Output
* space-group type: I-42d, No. 122
* DOS at the Fermi energy: 0.7 states/eV/f.u.
* uncorrected energy: -16.346 eV/atom

a b c (Å): 9.753 9.753 7.212
angles (deg): 132.55 132.55 90.00
Fractional positions:
Sc1 0.250 0.750 0.500
Sc2 0.000 0.000 0.000
Br1 0.032 0.875 0.250
Br2 0.218 0.375 0.250
Br3 0.125 0.782 0.750
Br4 0.625 0.968 0.750
N1 0.750 0.250 0.500
N2 0.500 0.500 0.000

4.
The following is a DFT calculation (SCAN) of ScBr2N at its PBEsol-relaxed geometry.

Output
* space-group type: Fm-3m, No. 225
* DOS at the Fermi energy: 3.2 states/eV/f.u.
* uncorrected energy: -15.572 eV/atom

a b c (Å): 4.677 4.677 4.677
angles (deg): 60.00 60.00 60.00
Fractional positions:
Sc1 0.500 0.500 0.500
Br1 0.250 0.250 0.250
Br2 0.750 0.750 0.750
N1 0.000 0.000 0.000

5.
The following is a DFT calculation (SCAN) of ScSe2BrN at its PBEsol-relaxed geometry.

Output
* space-group type: P4/mmm, No. 123
* DOS at the Fermi energy: 1.7 states/eV/f.u.
* uncorrected energy: -16.434 eV/atom

a b c (Å): 4.251 4.564 4.564
angles (deg): 90.00 90.00 90.00
Fractional positions:
Sc1 0.500 0.500 0.500
Se1 0.000 0.000 0.500
Se2 0.000 0.500 0.000
Br1 0.500 0.000 0.000
N1 0.000 0.000 0.000

6.
The following is a DFT calculation (SCAN) of ScTaBrN2 at its PBEsol-relaxed geometry.

Output
* space-group type: P4/mmm, No. 123
* DOS at the Fermi energy: 4.4 states/eV/f.u.
* uncorrected energy: -21.680 eV/atom

a b c (Å): 4.170 4.170 4.715
angles (deg): 90.00 90.00 90.00
Fractional positions:
Sc1 0.500 0.500 0.500
N1 0.000 0.500 0.000
N2 0.500 0.000 0.000
Br1 0.000 0.000 0.000
Ta1 0.000 0.000 0.500

7.
The following is a DFT calculation (SCAN) of Se2BrN2 at its PBEsol-relaxed geometry.

Output
* space-group type: P4/mmm, No. 123
* DOS at the Fermi energy: 2.8 states/eV/f.u.
* uncorrected energy: -13.100 eV/atom

a b c (Å): 3.688 5.221 5.221
angles (deg): 90.00 90.00 90.00
Fractional positions:
Se1 0.000 0.000 0.500
Se2 0.000 0.500 0.000
Br1 0.000 0.000 0.000
N1 0.500 0.500 0.500
N2 0.500 0.000 0.000

8.
The following is a DFT calculation (SCAN) of SeBr2N at its PBEsol-relaxed geometry.

Output
* space-group type: R-3m, No. 166
* DOS at the Fermi energy: 1.9 states/eV/f.u.
* uncorrected energy: -15.650 eV/atom

a b c (Å): 3.557 3.557 8.159
angles (deg): 77.41 77.41 60.00
Fractional positions:
Se1 0.500 0.500 0.500
Br1 0.922 0.922 0.235
Br2 0.078 0.078 0.765
N1 0.000 0.000 0.000

9.
The following is a DFT calculation (SCAN) of SiSeBrN2 at its PBEsol-relaxed geometry.

Output
* space-group type: P4/mmm, No. 123
* DOS at the Fermi energy: 2.9 states/eV/f.u.
* uncorrected energy: -11.445 eV/atom

a b c (Å): 3.753 3.753 6.629
angles (deg): 90.00 90.00 90.00
Fractional positions:
Si1 0.500 0.500 0.500
Se1 0.000 0.000 0.500
Br1 0.000 0.000 0.000
N1 0.000 0.500 0.000
N2 0.500 0.000 0.000

10.
The following is a DFT calculation (SCAN) of TeSe2BrN at its PBEsol-relaxed geometry.

Output
* space-group type: P4/mmm, No. 123
* DOS at the Fermi energy: 6.7 states/eV/f.u.
* uncorrected energy: -20.112 eV/atom

a b c (Å): 3.950 5.383 5.383
angles (deg): 90.00 90.00 90.00
Fractional positions:
Te1 0.000 0.000 0.000
Se1 0.000 0.000 0.500
Se2 0.000 0.500 0.000
Br1 0.500 0.500 0.500
N1 0.500 0.000 0.000

11.
The following is a DFT calculation (SCAN) of TeSeBr2N at its PBEsol-relaxed geometry.

Output
* space-group type: P4/mmm, No. 123
* DOS at the Fermi energy: 0.7 states/eV/f.u.
* uncorrected energy: -20.174 eV/atom

a b c (Å): 5.221 5.562 5.562
angles (deg): 90.00 90.00 90.00
Fractional positions:
Te1 0.000 0.000 0.000
Se1 0.500 0.000 0.000
Br1 0.000 0.000 0.500
Br2 0.000 0.500 0.000
N1 0.500 0.500 0.500

12.
The following is a DFT calculation (SCAN) of TeSe2BrN at its PBEsol-relaxed geometry.

Output
* space-group type: P4/mmm, No. 123
* DOS at the Fermi energy: 3.3 states/eV/f.u.
* uncorrected energy: -19.780 eV/atom

a b c (Å): 3.684 5.326 5.326
angles (deg): 90.00 90.00 90.00
Fractional positions:
Te1 0.500 0.500 0.500
Se1 0.000 0.000 0.500
Se2 0.000 0.500 0.000
Br1 0.000 0.000 0.000
N1 0.500 0.000 0.000